Below is a relaxed structure of Sc2Be12TcB3, with properties calculated at the PBE level.

```
data_Sc2Be12TcB3
_chemical_formula_sum 'Sc2 Be12 Tc1 B3'
_symmetry_space_group_name_H-M 'P 1'
_symmetry_Int_Tables_number 1
_cell_length_a 6.613
_cell_length_b 6.613
_cell_length_c 6.613
_cell_angle_alpha 59.87
_cell_angle_beta 59.87
_cell_angle_gamma 59.87
loop_
_symmetry_equiv_pos_as_xyz
'x,y,z'
loop_
_atom_site_label
_atom_site_type_symbol
_atom_site_fract_x
_atom_site_fract_y
_atom_site_fract_z
_atom_site_occupancy
Sc1 Sc 0.090 0.090 0.090 1
Sc2 Sc 0.910 0.910 0.910 1
Be1 Be 0.031 0.650 0.650 1
Be2 Be 0.245 0.245 0.585 1
Be3 Be 0.245 0.585 0.245 1
Be4 Be 0.350 0.350 0.969 1
Be5 Be 0.350 0.969 0.350 1
Be6 Be 0.415 0.755 0.755 1
Be7 Be 0.585 0.245 0.245 1
Be8 Be 0.650 0.031 0.650 1
Be9 Be 0.650 0.650 0.031 1
Be10 Be 0.755 0.415 0.755 1
Be11 Be 0.755 0.755 0.415 1
Be12 Be 0.969 0.350 0.350 1
Tc1 Tc 0.500 0.500 0.500 1
B1 B 0.000 0.500 0.500 1
B2 B 0.500 0.000 0.500 1
B3 B 0.500 0.500 0.000 1
```

## Properties
The calculation puts the formation enthalpy at 0 K at 31.3 kJ/mol of atoms. Its mass density is 2.7 Mg/m³.



Below is a relaxed structure of CeSc2C, with properties calculated at the PBE level.

```
data_CeSc2C
_chemical_formula_sum 'Ce1 Sc2 C1'
_symmetry_space_group_name_H-M 'P 1'
_symmetry_Int_Tables_number 1
_cell_length_a 3.004
_cell_length_b 3.004
_cell_length_c 8.252
_cell_angle_alpha 90.00
_cell_angle_beta 90.00
_cell_angle_gamma 90.00
loop_
_symmetry_equiv_pos_as_xyz
'x,y,z'
loop_
_atom_site_label
_atom_site_type_symbol
_atom_site_fract_x
_atom_site_fract_y
_atom_site_fract_z
_atom_site_occupancy
Ce1 Ce 0.000 0.000 0.000 1
Sc1 Sc 0.500 0.500 0.349 1
Sc2 Sc 0.500 0.500 0.651 1
C1 C 0.000 0.000 0.500 1
```

## Properties
The calculation puts the energy above the most stable polymorph in this dataset at 368 meV/atom. The calculation puts the formation enthalpy at 0 K at 14.0 kJ/mol of atoms. Its mass density is 5.4 Mg/m³.



Below is a relaxed structure of TbZrS2, with properties calculated at the PBE level.

```
data_TbZrS2
_chemical_formula_sum 'Tb1 Zr1 S2'
_symmetry_space_group_name_H-M 'P 1'
_symmetry_Int_Tables_number 1
_cell_length_a 6.988
_cell_length_b 6.988
_cell_length_c 6.988
_cell_angle_alpha 30.81
_cell_angle_beta 30.81
_cell_angle_gamma 30.81
loop_
_symmetry_equiv_pos_as_xyz
'x,y,z'
loop_
_atom_site_label
_atom_site_type_symbol
_atom_site_fract_x
_atom_site_fract_y
_atom_site_fract_z
_atom_site_occupancy
Tb1 Tb 0.000 0.000 0.000 1
Zr1 Zr 0.176 0.176 0.176 1
S1 S 0.584 0.584 0.584 1
S2 S 0.760 0.760 0.760 1
```

## Properties
The calculation puts the energy above the most stable polymorph in this dataset at 25 meV/atom. For the energy relative to the elements, uncorrected, the calculation gives -1.65 eV/atom. Its mass density is 6.6 Mg/m³.



Below is a relaxed structure of BaGaSb2Br, with properties calculated at the PBE level.

```
data_BaGaSb2Br
_chemical_formula_sum 'Ba1 Ga1 Sb2 Br1'
_symmetry_space_group_name_H-M 'P 1'
_symmetry_Int_Tables_number 1
_cell_length_a 5.186
_cell_length_b 5.186
_cell_length_c 6.924
_cell_angle_alpha 90.00
_cell_angle_beta 90.00
_cell_angle_gamma 90.00
loop_
_symmetry_equiv_pos_as_xyz
'x,y,z'
loop_
_atom_site_label
_atom_site_type_symbol
_atom_site_fract_x
_atom_site_fract_y
_atom_site_fract_z
_atom_site_occupancy
Ba1 Ba 0.000 0.000 0.000 1
Ga1 Ga 0.000 0.000 0.500 1
Sb1 Sb 0.000 0.500 0.500 1
Sb2 Sb 0.500 0.000 0.500 1
Br1 Br 0.500 0.500 0.000 1
```

## Properties
For the energy relative to the elements, uncorrected, the calculation gives -0.40 eV/atom. Its mass density is 4.7 Mg/m³.



Total magnetization, respectively: 0.00 0.73 0.00 0.00 μB/f.u..